Entry 1:
Computed, not measured: crystalline AcLaCu4 at its relaxed geometry at the PBE-GGA level of DFT.

Lattice parameters (Å, degrees): 5.5007 5.5007 5.5007 60.00 60.00 60.00
Sites, in units of the cell vectors:
Cu  0.6261  0.6261  0.6261
Cu  0.6261  0.1218  0.6261
Cu  0.1218  0.6261  0.6261
Cu  0.6261  0.6261  0.1218
Ac  0.2500  0.2500  0.2500
La  0.0000  0.0000  0.0000

Output
Formation enthalpy at 0 K   -11.0 meV/atom
Theoretical density   8.7 g/cm3
Relative energy among the computed polymorphs   0.1963 eV/atom

---

Entry 2:
Computed, not measured: crystalline AcLaCu3 at its relaxed geometry at the PBE-GGA level of DFT.

Lattice parameters (Å, degrees): 4.0567 4.4493 13.3219 90.00 98.76 90.00
Sites, in units of the cell vectors:
Cu  0.6706  0.2500  0.3412
Cu  0.5236  0.7500  0.0473
Cu  0.4764  0.2500  0.9527
Cu  0.6195  0.7500  0.2391
Cu  0.3805  0.2500  0.7609
Cu  0.3294  0.7500  0.6588
La  0.7957  0.2500  0.5915
La  0.2043  0.7500  0.4085
Ac  0.0713  0.2500  0.1427
Ac  0.9287  0.7500  0.8573

Output
Formation enthalpy at 0 K   -188.8 meV/atom
Theoretical density   7.8 g/cm3

---

Entry 3:
Computed, not measured: crystalline Ac2La12Cu7 at its relaxed geometry at the PBE-GGA level of DFT.

Lattice parameters (Å, degrees): 4.9936 11.9989 11.9989 120.00 90.00 90.00
Sites, in units of the cell vectors:
Cu  0.5000  0.4580  0.0603
Cu  0.0000  0.2280  0.2423
Cu  0.0000  0.0143  0.7720
Cu  0.5000  0.9397  0.3978
Cu  0.5000  0.6022  0.5420
Cu  0.0000  0.3333  0.6667
Cu  0.0000  0.7577  0.9857
La  0.0000  0.2439  0.0117
La  0.0000  0.4965  0.9427
La  0.0000  0.4462  0.5035
La  0.5000  0.2326  0.7872
La  0.0000  0.9883  0.2322
La  0.0000  0.0573  0.5538
La  0.5000  0.3951  0.2613
La  0.0000  0.7678  0.7561
La  0.5000  0.2128  0.4454
La  0.5000  0.8662  0.6049
La  0.5000  0.7387  0.1338
La  0.5000  0.5546  0.7674
Ac  0.5000  0.0000  0.0000
Ac  0.0000  0.6667  0.3333

Output
Formation enthalpy at 0 K   -72.9 meV/atom
Theoretical density   6.8 g/cm3

---

Entry 4:
Computed, not measured: crystalline AcLa3Cu at its relaxed geometry at the PBE-GGA level of DFT.

Lattice parameters (Å, degrees): 5.7358 5.7358 5.7358 90.00 90.00 90.00
Sites, in units of the cell vectors:
Ac  0.5000  0.5000  0.5000
Cu  0.0000  0.0000  0.0000
La  0.0000  0.0000  0.5000
La  0.0000  0.5000  0.0000
La  0.5000  0.0000  0.0000

Output
Formation enthalpy at 0 K   75.7 meV/atom
Theoretical density   6.2 g/cm3

---

Entry 5:
Computed, not measured: crystalline Ac2LaCu3 at its relaxed geometry at the PBE-GGA level of DFT.

Lattice parameters (Å, degrees): 4.8056 8.9183 8.8991 120.07 90.00 90.00
Sites, in units of the cell vectors:
Cu  0.0000  0.5000  0.0000
Cu  0.0000  0.8372  0.6743
Cu  0.0000  0.1628  0.3257
Cu  0.5000  0.8372  0.6743
Cu  0.5000  0.5000  0.0000
Cu  0.5000  0.1628  0.3257
Ac  0.7500  0.1665  0.6715
Ac  0.2500  0.5050  0.6715
Ac  0.7500  0.4950  0.3285
Ac  0.2500  0.8335  0.3285
La  0.7500  0.8380  0.0000
La  0.2500  0.1620  0.0000

Output
Formation enthalpy at 0 K   -57.5 meV/atom
Theoretical density   7.9 g/cm3

---

Entry 6:
Computed, not measured: crystalline AcLaMgCu at its relaxed geometry at the PBE-GGA level of DFT.

Lattice parameters (Å, degrees): 5.5102 5.5102 5.5102 60.00 60.00 60.00
Sites, in units of the cell vectors:
Cu  0.2500  0.2500  0.2500
Ac  0.0000  0.0000  0.0000
Mg  0.7500  0.7500  0.7500
La  0.5000  0.5000  0.5000

Output
Formation enthalpy at 0 K   -11.5 meV/atom
Theoretical density   6.4 g/cm3

---

Entry 7:
Computed, not measured: crystalline Ac2LaCuO5 at its relaxed geometry at the PBE-GGA level of DFT.

Lattice parameters (Å, degrees): 6.0006 6.9082 6.9082 90.00 90.00 90.00
Last column: magnetic moment on the atom in μB.
Sites, in units of the cell vectors:
Ac  0.5000  0.3355  0.8355  0.00
Ac  0.5000  0.1645  0.3355  0.00
Ac  0.5000  0.8355  0.6645  0.00
Ac  0.5000  0.6645  0.1645  0.00
La  0.0000  0.0000  0.0000  0.27
La  0.0000  0.5000  0.5000  0.27
O  0.2266  0.8395  0.3395  0.00
O  0.2266  0.1605  0.6605  0.00
O  0.5000  0.0000  0.0000  0.00
O  0.2266  0.6605  0.8395  0.00
O  0.7734  0.3395  0.1605  0.00
O  0.7734  0.1605  0.6605  0.00
O  0.7734  0.6605  0.8395  0.00
O  0.2266  0.3395  0.1605  0.00
O  0.5000  0.5000  0.5000  0.00
O  0.7734  0.8395  0.3395  0.00
Cu  0.0000  0.0000  0.5000  -0.01
Cu  0.0000  0.5000  0.0000  -0.01

Output
Formation energy without anion corrections   -22.49 eV per formula unit
Theoretical density   8.5 g/cm3

---

Entry 8:
Computed, not measured: crystalline AcLa2CuO5 at its relaxed geometry at the PBE-GGA level of DFT.

Lattice parameters (Å, degrees): 5.9678 6.7510 6.7510 90.00 90.00 90.00
Sites, in units of the cell vectors:
Ac  0.0000  0.5000  0.5000
Ac  0.0000  0.0000  0.0000
O  0.7657  0.1600  0.6600
O  0.2343  0.3400  0.1600
O  0.7657  0.3400  0.1600
O  0.7657  0.6600  0.8400
O  0.2343  0.8400  0.3400
O  0.2343  0.6600  0.8400
O  0.5000  0.5000  0.5000
O  0.7657  0.8400  0.3400
O  0.2343  0.1600  0.6600
O  0.5000  0.0000  0.0000
La  0.5000  0.6657  0.1657
La  0.5000  0.1657  0.3343
La  0.5000  0.8343  0.6657
La  0.5000  0.3343  0.8343
Cu  0.0000  0.5000  0.0000
Cu  0.0000  0.0000  0.5000

Output
Formation energy without anion corrections   -24.16 eV per formula unit
Theoretical density   7.9 g/cm3

---

Entry 9:
Computed, not measured: crystalline AcLaCuOs at its relaxed geometry at the PBE-GGA level of DFT.

Lattice parameters (Å, degrees): 5.1798 5.1798 5.1798 60.00 60.00 60.00
Sites, in units of the cell vectors:
Os  0.7500  0.7500  0.7500
Cu  0.2500  0.2500  0.2500
La  0.5000  0.5000  0.5000
Ac  0.0000  0.0000  0.0000

Output
Formation enthalpy at 0 K   2.5 meV/atom
Theoretical density   10.5 g/cm3

---

Entry 10:
Computed, not measured: crystalline AcLa2Cu2Pb2 at its relaxed geometry at the PBE-GGA level of DFT.

Lattice parameters (Å, degrees): 4.7462 4.7462 10.2701 76.64 76.64 60.00
Sites, in units of the cell vectors:
La  0.8602  0.8602  0.4194
La  0.1398  0.1398  0.5806
Cu  0.5681  0.5681  0.2958
Cu  0.4319  0.4319  0.7042
Ac  0.0000  0.0000  0.0000
Pb  0.7384  0.7384  0.7849
Pb  0.2616  0.2616  0.2151

Output
Formation enthalpy at 0 K   -293.6 meV/atom
Theoretical density   9.0 g/cm3

---

Entry 11:
Computed, not measured: crystalline AcLaCuPb at its relaxed geometry at the PBE-GGA level of DFT.

Lattice parameters (Å, degrees): 5.5846 5.5846 5.5846 60.00 60.00 60.00
Last column: magnetic moment on the atom in μB.
Sites, in units of the cell vectors:
Cu  0.2500  0.2500  0.2500  0.01
La  0.0000  0.0000  0.0000  0.09
Ac  0.5000  0.5000  0.5000  0.05
Pb  0.7500  0.7500  0.7500  -0.01

Output
Formation enthalpy at 0 K   -282.8 meV/atom
Theoretical density   8.6 g/cm3